No. 1
Here is a relaxed Ce7SiGe3 crystal from the Alexandria database. Energies are from PBE.

Structure (POSCAR):
```
Ce7SiGe3
1.0
-4.5460 -2.2623 2.5742
6.0381 0.4323 4.7516
-0.6113 7.6435 -0.6537
Ge Ce Si
3 7 1
Cartesian
0.9641 5.9350 0.6269
4.4628 2.1408 3.4710
-2.2730 -1.1312 1.2871
0.1428 0.9387 1.0767
-1.1242 5.6345 2.9704
0.7382 4.8748 5.5954
2.2740 1.9493 5.7328
2.7134 4.0379 2.0489
2.0052 0.1789 3.7016
-1.3930 3.8642 0.9393
0.4405 2.9067 3.3360
```

Values from the calculation:
The total magnetization comes out at 0.5375 μB per atom. For the electronic total energy, the calculation gives -6.004 eV per atom.

=====

No. 2
Here is a relaxed Hf4PbS8 crystal from the Alexandria database. Energies are from PBE.

Structure (POSCAR):
```
Hf4PbS8
1.0
-0.5653 7.5865 1.0068
-3.3771 4.3398 -5.3525
-6.8399 3.1860 1.3978
Pb S Hf
1 8 4
Cartesian
-8.0867 11.3342 -2.2109
-3.6194 7.8093 -2.3866
-1.4392 2.0172 -0.3935
-6.3018 5.9280 -2.2194
-4.6271 3.5021 0.2580
-1.7027 5.5531 0.0757
-5.0997 7.3160 0.4992
-3.0132 4.0399 -2.8881
-6.5435 9.1713 -1.7890
-3.9698 5.5640 -1.0853
-7.5764 7.2440 -0.3483
-4.2678 9.5643 -0.5545
-5.7505 7.8524 -3.9077
```

Values from the calculation:
The distance to the lowest polymorph of the same formula comes out at 95 meV/atom. The total magnetization comes out at 0.0001 μB per atom. For the electronic total energy, the calculation gives -7.209 eV per atom.

=====

No. 3
Here is a relaxed LiSc2Ni crystal from the Alexandria database. Energies are from PBE.

Structure (POSCAR):
```
LiSc2Ni
1.0
-0.4334 3.2184 -0.2640
-1.2779 -0.4156 -2.9681
-6.1809 -0.6071 2.7463
Ni Li Sc
1 1 2
Cartesian
-5.3590 0.9591 0.3848
-3.3901 -0.3330 1.5063
-2.6224 1.2279 -0.8311
-5.7921 -0.5689 2.5735
```

Values from the calculation:
The total magnetization comes out at 0.1223 μB per atom. For the electronic total energy, the calculation gives -5.154 eV per atom. The energy of formation from the pure elements comes out at -0.06 eV per atom.